# 1
VASP calculation (meta-GGA SCAN) on a PBEsol-optimized structure of Ni3Mo.

Output
- Total energy: -20.80 eV/atom
- Symmetry: No. 47
- Crystal system: orthorhombic

Cell and atoms, written as POSCAR:
```
Ni3Mo
1.0
-1.229 -0.882 -2.073
0.858 -3.364 0.921
-4.222 -0.351 2.652
Ni Mo
3 1
Direct
0.500 0.500 0.742
0.000 0.000 0.500
0.500 0.500 0.258
0.000 0.000 0.000
```

=====

# 2
VASP calculation (meta-GGA SCAN) on a PBEsol-optimized structure of La2ZrCo.

Output
- Total energy: -33.26 eV/atom
- ΔE to the lowest computed polymorph: 16.07 kJ/mol of atoms
- Symmetry: No. 123
- Crystal system: tetragonal

Cell and atoms, written as POSCAR:
```
La2ZrCo
1.0
3.432 0.000 0.000
0.000 5.210 0.042
0.000 -0.046 5.210
Co La Zr
1 2 1
Direct
0.500 0.500 0.500
0.000 0.500 0.000
0.000 0.000 0.500
0.500 0.000 0.000
```

=====

# 3
VASP calculation (meta-GGA SCAN) on a PBEsol-optimized structure of BaSrAg2.

Output
- Total energy: -31.43 eV/atom
- ΔE to the lowest computed polymorph: 0.00 kJ/mol of atoms
- Symmetry: No. 38
- Crystal system: orthorhombic

Cell and atoms, written as POSCAR:
```
BaSrAg2
1.0
4.486 0.000 0.000
0.000 4.768 0.000
-2.243 0.000 6.052
Sr Ba Ag
1 1 2
Direct
0.761 0.500 0.523
0.482 0.000 0.964
0.194 0.000 0.388
0.061 0.500 0.123
```

=====

# 4
VASP calculation (meta-GGA SCAN) on a PBEsol-optimized structure of LiGa3Ru.

Output
- Total energy: -17.48 eV/atom
- Symmetry: No. 221
- Crystal system: cubic

Cell and atoms, written as POSCAR:
```
LiGa3Ru
1.0
-3.178 3.031 -1.754
-2.971 -1.080 3.517
1.854 3.466 2.630
Ru Ga Li
1 3 1
Direct
0.000 0.000 0.000
0.000 0.500 0.000
0.000 0.000 0.500
0.500 0.000 0.000
0.500 0.500 0.500
```

=====

# 5
VASP calculation (meta-GGA SCAN) on a PBEsol-optimized structure of Ti2CdFe2.

Output
- Total energy: -19.54 eV/atom
- Symmetry: No. 139
- Crystal system: tetragonal

Cell and atoms, written as POSCAR:
```
Ti2CdFe2
1.0
-0.944 -1.607 2.831
-2.710 -1.244 -1.610
5.488 -4.083 -2.516
Ti Fe Cd
2 2 1
Direct
0.376 0.376 0.752
0.624 0.624 0.248
0.250 0.750 0.500
0.750 0.250 0.500
0.000 0.000 0.000
```

=====

# 6
VASP calculation (meta-GGA SCAN) on a PBEsol-optimized structure of PHWO2.

Output
- Total energy: -19.76 eV/atom
- Symmetry: No. 123
- Crystal system: tetragonal

Cell and atoms, written as POSCAR:
```
PHWO2
1.0
3.739 0.000 0.000
0.000 3.739 0.000
0.000 0.000 4.972
P O W H
1 2 1 1
Direct
0.000 0.000 0.500
0.000 0.500 0.000
0.500 0.000 0.000
0.000 0.000 0.000
0.500 0.500 0.500
```